[1]
The following is a PBE-GGA calculation of an optimized crystal structure of AcPrNdAu, from the Alexandria database.

Values from the calculation:
The formation energy from the elements is -39 meV/atom. Its crystal system is cubic.

Unit cell a=7.904 b=7.904 c=7.904 alpha=90.00 beta=90.00 gamma=90.00
Space group F-43m (No. 216)
Symmetry-distinct sites (fractional):
Ac 0.000 0.000 0.000 x4
Pr 0.250 0.250 0.750 x4
Nd 0.250 0.250 0.250 x4
Au 0.000 0.000 0.500 x4

***

[2]
The following is a PBE-GGA calculation of an optimized crystal structure of AcNdPtAu, from the Alexandria database.

Values from the calculation:
The calculation puts the energy above the most stable polymorph in this dataset at 8.4 kJ per mole of atoms. The formation energy from the elements is -864 meV/atom. Its crystal system is cubic.

Unit cell a=7.521 b=7.521 c=7.521 alpha=90.00 beta=90.00 gamma=90.00
Space group F-43m (No. 216)
Symmetry-distinct sites (fractional):
Ac 0.000 0.000 0.000 x4
Nd 0.000 0.000 0.500 x4
Pt 0.250 0.250 0.750 x4
Au 0.250 0.250 0.250 x4

***

[3]
The following is a PBE-GGA calculation of an optimized crystal structure of AcNdPtAu, from the Alexandria database.

Values from the calculation:
The calculation puts the energy above the most stable polymorph in this dataset at 0.0 kJ per mole of atoms. The formation energy from the elements is -951 meV/atom. Its crystal system is orthorhombic.

Unit cell a=4.817 b=4.050 c=11.250 alpha=90.00 beta=90.00 gamma=90.00
Space group Amm2 (No. 38)
Symmetry-distinct sites (fractional):
Ac 0.000 0.000 0.000 x2
Nd 0.500 0.000 0.727 x2
Pt 0.000 0.000 0.273 x2
Au 0.500 0.000 0.446 x2

***

[4]
The following is a PBE-GGA calculation of an optimized crystal structure of AcNdRhAu, from the Alexandria database.

Values from the calculation:
The calculation puts the energy above the most stable polymorph in this dataset at 0.0 kJ per mole of atoms. The formation energy from the elements is -733 meV/atom. Its crystal system is orthorhombic.

Unit cell a=4.762 b=4.073 c=10.967 alpha=90.00 beta=90.00 gamma=90.00
Space group Amm2 (No. 38)
Symmetry-distinct sites (fractional):
Ac 0.000 0.000 0.000 x2
Nd 0.500 0.000 0.721 x2
Rh 0.000 0.000 0.262 x2
Au 0.500 0.000 0.435 x2

***

[5]
The following is a PBE-GGA calculation of an optimized crystal structure of AcNdRhAu, from the Alexandria database.

Values from the calculation:
The calculation puts the energy above the most stable polymorph in this dataset at 9.1 kJ per mole of atoms. The formation energy from the elements is -639 meV/atom. Its crystal system is cubic.

Unit cell a=7.451 b=7.451 c=7.451 alpha=90.00 beta=90.00 gamma=90.00
Space group F-43m (No. 216)
Symmetry-distinct sites (fractional):
Ac 0.000 0.000 0.000 x4
Nd 0.000 0.000 0.500 x4
Rh 0.250 0.250 0.750 x4
Au 0.250 0.250 0.250 x4

***

[6]
The following is a PBE-GGA calculation of an optimized crystal structure of Ac2Nd2RuAu2, from the Alexandria database.

Values from the calculation:
The formation energy from the elements is -479 meV/atom. Its crystal system is triclinic.

Unit cell a=4.131 b=7.497 c=7.917 alpha=112.64 beta=105.06 gamma=90.00
Space group P-1 (No. 2)
Symmetry-distinct sites (fractional):
Ac 0.206 0.224 0.412 x2
Nd 0.480 0.241 0.960 x2
Ru 0.000 0.000 0.000 x1
Au 0.119 0.564 0.238 x2

***

[7]
The following is a PBE-GGA calculation of an optimized crystal structure of AcNdRuAu, from the Alexandria database.

Values from the calculation:
The formation energy from the elements is -364 meV/atom. Its crystal system is cubic.

Unit cell a=7.411 b=7.411 c=7.411 alpha=90.00 beta=90.00 gamma=90.00
Space group F-43m (No. 216)
Symmetry-distinct sites (fractional):
Ac 0.000 0.000 0.000 x4
Nd 0.000 0.000 0.500 x4
Ru 0.250 0.250 0.250 x4
Au 0.250 0.250 0.750 x4

***

[8]
The following is a PBE-GGA calculation of an optimized crystal structure of Ac2NdAuSe5, from the Alexandria database.

Values from the calculation:
Its crystal system is orthorhombic.

Unit cell a=4.305 b=18.187 c=12.919 alpha=90.00 beta=90.00 gamma=90.00
Space group Cmc2_1 (No. 36)
Symmetry-distinct sites (fractional):
Ac 0.000 0.118 0.000 x4
Ac 0.000 0.122 0.627 x4
Nd 0.000 0.188 0.320 x4
Au 0.000 0.454 0.774 x4
Se 0.000 0.038 0.385 x4
Se 0.000 0.296 0.981 x4
Se 0.000 0.303 0.659 x4
Se 0.000 0.353 0.316 x4
Se 0.000 0.498 0.584 x4

***

| no. | D(E_F) (states/eV/f.u.) | uncorrected energy (eV for the cell shown) | density (g cm⁻³) |
| --- | --- | --- | --- |
| 1 | 7.53 | -68.36 | 9.54 |
| 2 | 2.50 | -86.61 | 11.92 |
| 3 | 3.04 | -44.00 | 11.55 |
| 4 | 2.36 | -44.87 | 10.48 |
| 5 | 3.83 | -88.24 | 10.78 |
| 6 | 5.36 | -36.94 | 9.46 |
| 7 | 2.28 | -91.55 | 10.92 |
| 8 | 0.23 | -194.01 | 7.81 |